Tb6Sb3AsP2: optimized geometry, GGA-PBE.

Unit cell a=9.497 b=9.497 c=8.519 alpha=104.00 beta=104.00 gamma=25.57
Atoms (fractional coordinates):
Tb 0.007 0.007 0.242
Tb 0.328 0.328 0.431
Tb 0.336 0.336 0.902
Tb 0.664 0.664 0.098
Tb 0.672 0.672 0.569
Tb 0.993 0.993 0.758
Sb 0.166 0.166 0.832
Sb 0.500 0.500 0.500
Sb 0.834 0.834 0.168
As 0.500 0.500 0.000
P 0.167 0.167 0.334
P 0.833 0.833 0.666

Calculated volume in Å³ per cell: 321
D(E_F) in states/eV per cell: 1.9
Uncorrected formation energy in eV per atom: -1.3401

LiGa2Sn: optimized geometry, GGA-PBE.

Unit cell a=5.360 b=5.917 c=5.373 alpha=90.00 beta=109.91 gamma=90.00
Atoms (fractional coordinates):
Li 0.240 0.250 0.262
Li 0.760 0.750 0.738
Ga 0.268 0.000 0.768
Ga 0.268 0.500 0.768
Ga 0.732 0.000 0.232
Ga 0.732 0.500 0.232
Sn 0.232 0.750 0.265
Sn 0.768 0.250 0.735

Calculated volume in Å³ per cell: 160
D(E_F) in states/eV per cell: 2.3
ΔE_f in eV per atom: -0.147

Number 1: total moment 0.0 μB per formula unit. Number 2: total moment 0.0 μB per formula unit.